1.
Material: Dy4Zn3Cd
Method: DFT, PBE
State: relaxed

a b c (Å): 3.629 4.615 11.530
angles (deg): 90.00 90.00 90.00
Element x y z (fractional)
Dy: 0.500 0.000 0.651
Dy: 0.500 0.500 0.354
Dy: 0.000 0.500 0.838
Dy: 0.000 0.000 0.162
Zn: 0.500 0.000 0.924
Zn: 0.000 0.500 0.570
Zn: 0.000 0.000 0.432
Cd: 0.500 0.500 0.068

Summary:
N(E_F) in states/eV per cell: 8.547
Space group: Pmm2 (25)
Energy above the most stable polymorph in this dataset in eV per atom: 0.0537
Calculated formation energy in eV/atom: -0.2715



2.
Material: Dy3ZnCd2
Method: DFT, PBE
State: relaxed

a b c (Å): 5.214 5.214 12.809
angles (deg): 90.00 90.00 120.00
Element x y z (fractional)
Cd: 0.000 0.000 0.500
Cd: 0.667 0.333 0.834
Cd: 0.333 0.667 0.166
Cd: 0.000 0.000 0.000
Dy: 0.000 0.000 0.744
Dy: 0.667 0.333 0.090
Dy: 0.333 0.667 0.417
Dy: 0.667 0.333 0.583
Dy: 0.000 0.000 0.256
Dy: 0.333 0.667 0.910
Zn: 0.333 0.667 0.664
Zn: 0.667 0.333 0.336

Summary:
N(E_F) in states/eV per cell: 13.611
Space group: P-3m1 (164)
Energy above the most stable polymorph in this dataset in eV per atom: 0.0120
Calculated formation energy in eV/atom: -0.3124



The lowest energy above the most stable polymorph in this dataset belongs to which entry?
Dy3ZnCd2



The highest energy above the most stable polymorph in this dataset belongs to which entry?
Dy4Zn3Cd